Entry from Alexandria: CdAg2Au at its PBEsol-relaxed geometry (meta-GGA SCAN).

Properties
Total DFT energy (no corrections): -40.65 eV/atom
Formation energy: -0.287 eV per formula unit
Magnetic moment: 0.0 Bohr magnetons per cell
SG: C2/m (12)

Cell and atoms, written as POSCAR:
```
CdAg2Au
1.0
-1.0914 0.6198 2.5221
2.5483 -4.4001 1.4315
3.0847 4.4321 -0.9515
Au Ag Cd
1 2 1
direct
0.5000 0.0000 0.0000
0.0000 0.0000 0.5000
0.5000 0.5000 0.5000
0.0000 0.5000 0.0000
```

=====

Entry from Alexandria: Zr2TcTe at its PBEsol-relaxed geometry (meta-GGA SCAN).

Properties
Total DFT energy (no corrections): -33.76 eV/atom
Magnetic moment: 0.0 Bohr magnetons per cell
Raw formation energy: -0.33 eV/atom
SG: Immm (71)

Cell and atoms, written as POSCAR:
```
Zr2TcTe
1.0
3.8869 0.0000 0.0000
0.0000 4.7103 0.0000
-1.9434 -2.3552 4.1873
Tc Te Zr
1 1 2
direct
0.0000 0.5000 0.0000
0.5000 0.0000 0.0000
0.7312 0.7312 0.4624
0.2688 0.2688 0.5376
```

=====

Entry from Alexandria: Nd2CuGe2O8 at its PBEsol-relaxed geometry (meta-GGA SCAN).

Properties
Total DFT energy (no corrections): -17.14 eV/atom
Magnetic moment: 2.0 Bohr magnetons per cell
Raw formation energy: -2.50 eV/atom
SG: Cm (8)

Cell and atoms, written as POSCAR:
```
Nd2CuGe2O8
1.0
5.1432 0.0039 0.0000
-0.1377 8.3772 0.0000
-2.5027 -4.1906 7.6413
Nd Cu Ge O
4 2 4 16
direct
0.6495 0.3611 0.2420
0.4223 0.6212 0.7595
0.6629 0.8617 0.2405
0.4076 0.1192 0.7580
0.2275 0.2409 0.4137
0.8138 0.8273 0.5863
0.9935 0.0012 0.0000
0.8058 0.2717 0.5782
0.0798 0.4959 0.0000
0.2276 0.6935 0.4218
0.0613 0.8903 0.4828
0.2854 0.6660 0.0000
0.2837 0.3300 0.0000
0.7880 0.8294 0.0000
0.5037 0.8147 0.6528
0.9574 0.5894 0.1854
0.2942 0.1011 0.1881
0.5192 0.6659 0.3441
0.7744 0.1626 0.0000
0.8508 0.1619 0.3472
0.7720 0.4041 0.8146
0.6149 0.0683 0.5332
0.1750 0.3217 0.6559
0.1061 0.9129 0.8119
0.0817 0.5351 0.4668
0.5785 0.4076 0.5172
```

=====

Entry from Alexandria: SrY3S at its PBEsol-relaxed geometry (meta-GGA SCAN).

Properties
Total DFT energy (no corrections): -21.81 eV/atom
Magnetic moment: 0.0 Bohr magnetons per cell
Raw formation energy: 1.27 eV/atom
SG: Pm-3m (221)

Cell and atoms, written as POSCAR:
```
SrY3S
1.0
-3.1639 -0.2393 -4.4475
-4.4344 -0.3412 3.1730
-0.4167 5.4474 0.0034
Y Sr S
3 1 1
direct
0.0000 0.5000 0.0000
0.0000 0.0000 0.5000
0.5000 0.0000 0.0000
0.0000 0.0000 0.0000
0.5000 0.5000 0.5000
```

=====

Entry from Alexandria: HfSnH2 at its PBEsol-relaxed geometry (meta-GGA SCAN).

Properties
Total DFT energy (no corrections): -26.49 eV/atom
Magnetic moment: 0.0 Bohr magnetons per cell
SG: I-42d (122)

Cell and atoms, written as POSCAR:
```
HfSnH2
1.0
-3.8204 -1.4839 0.7250
-0.1886 -1.4232 -3.9067
4.3981 -3.8259 3.3985
H Hf Sn
4 2 2
direct
0.2219 0.8750 0.2500
0.0281 0.3750 0.2500
0.1250 0.9719 0.7500
0.6250 0.7781 0.7500
0.2500 0.7500 0.5000
0.0000 0.0000 0.0000
0.7500 0.2500 0.5000
0.5000 0.5000 0.0000
```

=====

Entry from Alexandria: CaSb2Te2 at its PBEsol-relaxed geometry (meta-GGA SCAN).

Properties
Total DFT energy (no corrections): -32.17 eV/atom
Magnetic moment: 0.0 Bohr magnetons per cell
Raw formation energy: -0.43 eV/atom
SG: I4/mmm (139)

Cell and atoms, written as POSCAR:
```
CaSb2Te2
1.0
-3.4489 2.2943 0.5778
-2.1899 -2.7089 -2.3150
0.9384 -4.4373 8.0829
Sb Ca Te
2 1 2
direct
0.2500 0.7500 0.5000
0.7500 0.2500 0.5000
0.0000 0.0000 0.0000
0.4143 0.4143 0.8287
0.5857 0.5857 0.1713
```

=====

Entry from Alexandria: CaIrW2 at its PBEsol-relaxed geometry (meta-GGA SCAN).

Properties
Total DFT energy (no corrections): -54.42 eV/atom
Formation energy: 2.468 eV per formula unit
Relative energy among the computed polymorphs: 0.180 eV per atom
Magnetic moment: 0.0 Bohr magnetons per cell
SG: I4/mmm (139)

Cell and atoms, written as POSCAR:
```
CaIrW2
1.0
-0.7863 2.8360 -2.4336
-3.6878 -0.9910 0.0366
1.5025 1.9431 4.7753
Ca Ir W
1 1 2
direct
0.5000 0.5000 0.0000
0.0000 0.0000 0.0000
0.7500 0.2500 0.5000
0.2500 0.7500 0.5000
```

=====

Entry from Alexandria: MgPb2Au at its PBEsol-relaxed geometry (meta-GGA SCAN).

Properties
Total DFT energy (no corrections): -56.52 eV/atom
Formation energy: -0.383 eV per formula unit
Magnetic moment: 0.0 Bohr magnetons per cell
SG: P4/mmm (123)

Cell and atoms, written as POSCAR:
```
MgPb2Au
1.0
-3.4602 -2.2677 1.3783
2.5981 -3.8543 0.1811
1.1241 0.9649 4.4095
Au Mg Pb
1 1 2
direct
0.5000 0.5000 0.5000
0.5000 0.0000 0.0000
0.0000 0.0000 0.5000
0.0000 0.5000 0.0000
```

=====

Entry from Alexandria: LaI4O12 at its PBEsol-relaxed geometry (meta-GGA SCAN).

Properties
Total DFT energy (no corrections): -16.43 eV/atom
Magnetic moment: 3.7 Bohr magnetons per cell
Raw formation energy: -0.85 eV/atom
SG: P2_1/c (14)

Cell and atoms, written as POSCAR:
```
LaI4O12
1.0
7.5799 0.0000 0.0000
0.0000 10.0067 0.1905
0.0000 -4.4538 13.2313
La I O
4 16 48
direct
0.7041 0.3252 0.3693
0.2041 0.6748 0.1307
0.2959 0.6748 0.6307
0.7959 0.3252 0.8693
0.8275 0.9447 0.2469
0.3275 0.0553 0.2531
0.1725 0.0553 0.7531
0.6725 0.9447 0.7469
0.6719 0.1585 0.0695
0.1719 0.8415 0.4305
0.3281 0.8415 0.9305
0.8281 0.1585 0.5695
0.2258 0.4660 0.3605
0.7258 0.5340 0.1395
0.7742 0.5340 0.6395
0.2742 0.4660 0.8605
0.6746 0.7329 0.4319
0.1746 0.2671 0.0681
0.3254 0.2671 0.5681
0.8254 0.7329 0.9319
0.8828 0.1175 0.3323
0.3828 0.8825 0.1677
0.1172 0.8825 0.6677
0.6172 0.1175 0.8323
0.0623 0.9121 0.2098
0.5623 0.0879 0.2902
0.9377 0.0879 0.7902
0.4377 0.9121 0.7098
0.7668 0.9635 0.1224
0.2668 0.0365 0.3776
0.2332 0.0365 0.8776
0.7332 0.9635 0.6224
0.7325 0.2734 0.1923
0.2325 0.7266 0.3077
0.2675 0.7266 0.8077
0.7675 0.2734 0.6923
0.6044 0.3096 0.0249
0.1044 0.6904 0.4751
0.3956 0.6904 0.9751
0.8956 0.3096 0.5249
0.4439 0.1164 0.0951
0.9439 0.8836 0.4049
0.5561 0.8836 0.9049
0.0561 0.1164 0.5951
0.0086 0.3929 0.3515
0.5086 0.6071 0.1485
0.9914 0.6071 0.6485
0.4914 0.3929 0.8515
0.3686 0.3078 0.3064
0.8686 0.6922 0.1936
0.6314 0.6922 0.6936
0.1314 0.3078 0.8064
0.2864 0.4620 0.4878
0.7864 0.5380 0.0122
0.7136 0.5380 0.5122
0.2136 0.4620 0.9878
0.6597 0.5635 0.3299
0.1597 0.4365 0.1701
0.3403 0.4365 0.6701
0.8403 0.5635 0.8299
0.4505 0.7321 0.4843
0.9505 0.2679 0.0157
0.5495 0.2679 0.5157
0.0495 0.7321 0.9843
0.6099 0.8535 0.3621
0.1099 0.1465 0.1379
0.3901 0.1465 0.6379
0.8901 0.8535 0.8621
```

=====

Entry from Alexandria: LaAgO2 at its PBEsol-relaxed geometry (meta-GGA SCAN).

Properties
Total DFT energy (no corrections): -24.15 eV/atom
Magnetic moment: 0.0 Bohr magnetons per cell
Raw formation energy: -2.41 eV/atom
SG: R-3m (166)

Cell and atoms, written as POSCAR:
```
LaAgO2
1.0
3.7936 0.0000 0.0000
1.8968 3.2854 0.0000
1.8968 1.0951 6.0629
Ag O La
1 2 1
direct
0.0000 0.0000 0.0000
0.8892 0.8892 0.3323
0.1108 0.1108 0.6677
0.5000 0.5000 0.5000
```

=====

Entry from Alexandria: Zr3Zn at its PBEsol-relaxed geometry (meta-GGA SCAN).

Properties
Total DFT energy (no corrections): -26.52 eV/atom
Formation energy: -0.466 eV per formula unit
Magnetic moment: 0.0 Bohr magnetons per cell
SG: Imm2 (44)

Cell and atoms, written as POSCAR:
```
Zr3Zn
1.0
3.1134 0.0000 0.0000
0.0000 5.2205 0.0000
-1.5567 -2.6103 4.9277
Zn Zr
1 3
direct
0.0000 0.0031 0.0000
0.2688 0.6205 0.5376
0.5000 0.4602 0.0000
0.7312 0.0829 0.4624
```

=====

Entry from Alexandria: Ba2AgP at its PBEsol-relaxed geometry (meta-GGA SCAN).

Properties
Total DFT energy (no corrections): -30.97 eV/atom
Formation energy: -3.018 eV per formula unit
Magnetic moment: 0.0 Bohr magnetons per cell
SG: R-3m (166)

Cell and atoms, written as POSCAR:
```
Ba2AgP
1.0
4.6381 0.0000 0.0000
2.3190 4.0167 0.0000
2.3190 1.3389 7.9299
P Ba Ag
1 2 1
direct
0.0000 0.0000 0.0000
0.7374 0.7374 0.7877
0.2626 0.2626 0.2123
0.5000 0.5000 0.5000
```